Compound: Li2Ti3FeO8
Source: Alexandria
Functional: GGA+U
Structure: relaxed

a = 8.4656 Å, b = 8.4656 Å, c = 8.4656 Å
α = 90.00°, β = 90.00°, γ = 90.00°
Space group P2_13 (No. 198)
Asymmetric unit:
Li: 0.1260 0.1260 0.1260
Li: 0.2479 0.2521 0.7479
Ti: 0.1166 0.3791 0.3712
Fe: 0.0007 0.5007 0.9993
O: 0.1054 0.8733 0.1089
O: 0.1112 0.3888 0.6112
O: 0.1224 0.8569 0.6402
O: 0.1366 0.6366 0.8634

Results
Total energy (eV per atom): -7.7870
E above lowest polymorph (meV per atom): 36

***

Compound: Li4TiFe3O8
Source: Alexandria
Functional: GGA+U
Structure: relaxed

a = 5.0558 Å, b = 5.6911 Å, c = 6.5481 Å
α = 90.82°, β = 90.17°, γ = 90.20°
Space group P1 (No. 1)
Asymmetric unit:
Li: 0.0000 0.0000 0.0000
Li: 0.0005 0.4979 0.7471
Li: 0.5084 0.1689 0.2444
Li: 0.5095 0.6584 0.4957
Ti: 0.5125 0.1602 0.7454
Fe: 0.0034 0.4949 0.2494
Fe: 0.5094 0.6631 0.9957
Fe: 0.9930 0.9868 0.4829
O: 0.3882 0.5109 0.2329
O: 0.4033 0.9869 0.9725
O: 0.4042 0.4759 0.7600
O: 0.4087 0.0116 0.5113
O: 0.8697 0.1611 0.7498
O: 0.8855 0.6606 0.0079
O: 0.9008 0.1786 0.2434
O: 0.9032 0.6488 0.4941

Results
Total energy (eV per atom): -6.4929
E above lowest polymorph (meV per atom): 0

***

Compound: LiTiFeO4
Source: Alexandria
Functional: GGA+U
Structure: relaxed

a = 9.8864 Å, b = 2.9938 Å, c = 10.2422 Å
α = 90.00°, β = 90.00°, γ = 90.00°
Space group Pnma (No. 62)
Asymmetric unit:
Li: 0.1134 0.2500 0.1450
Ti: 0.2127 0.7500 0.8671
Fe: 0.0067 0.7500 0.3689
O: 0.0687 0.7500 0.7396
O: 0.1084 0.2500 0.4679
O: 0.1455 0.2500 0.9604
O: 0.1831 0.7500 0.2621

Results
Total energy (eV per atom): -7.3254
E above lowest polymorph (meV per atom): 10

***

Compound: Li2TiFe3O8
Source: Alexandria
Functional: GGA+U
Structure: relaxed

a = 5.9116 Å, b = 5.9226 Å, c = 10.1949 Å
α = 105.53°, β = 90.79°, γ = 119.58°
Space group P-1 (No. 2)
Asymmetric unit:
Li: 0.0600 0.1293 0.1879
Li: 0.4286 0.8633 0.3116
Ti: 0.2638 0.5071 0.7588
Fe: 0.0000 0.0000 0.5000
Fe: 0.0000 0.5000 0.0000
Fe: 0.0000 0.5000 0.5000
Fe: 0.5000 0.0000 0.0000
Fe: 0.5000 0.5000 0.0000
Fe: 0.5000 0.5000 0.5000
O: 0.0877 0.7247 0.3838
O: 0.1383 0.2788 0.3962
O: 0.1454 0.7319 0.8696
O: 0.1472 0.2804 0.8744
O: 0.3556 0.7072 0.6106
O: 0.3694 0.2756 0.6164
O: 0.3695 0.7289 0.1051
O: 0.4004 0.2651 0.1226

Results
Total energy (eV per atom): -6.6619
E above lowest polymorph (meV per atom): 0

***

Compound: Li3TiFe2O6
Source: Alexandria
Functional: GGA+U
Structure: relaxed

a = 13.0448 Å, b = 2.9848 Å, c = 6.0213 Å
α = 90.00°, β = 103.49°, γ = 90.00°
Space group C2/m (No. 12)
Asymmetric unit:
Li: 0.0000 0.0000 0.0000
Li: 0.1680 0.5000 0.3312
Ti: 0.0000 0.0000 0.5000
Fe: 0.1713 0.5000 0.8418
O: 0.0001 0.5000 0.2772
O: 0.1555 0.0000 0.5850
O: 0.1661 0.0000 0.0730

Results
Total energy (eV per atom): -6.6193

***

Compound: Li2Ti3FeO8
Source: Alexandria
Functional: GGA+U
Structure: relaxed

a = 5.9296 Å, b = 5.9296 Å, c = 9.7015 Å
α = 90.00°, β = 90.00°, γ = 120.00°
Space group P6_3mc (No. 186)
Asymmetric unit:
Li: 0.0000 0.0000 0.0000
Li: 0.3333 0.6667 0.1027
Ti: 0.1693 0.3386 0.7818
Fe: 0.3333 0.6667 0.5067
O: 0.0000 0.0000 0.1840
O: 0.0376 0.5188 0.6622
O: 0.1619 0.3238 0.3943
O: 0.3333 0.6667 0.8924

Results
Total energy (eV per atom): -7.7620
E above lowest polymorph (meV per atom): 61

***

Compound: Li2TiFe3O8
Source: Alexandria
Functional: GGA+U
Structure: relaxed

a = 5.8274 Å, b = 5.8297 Å, c = 5.8359 Å
α = 90.38°, β = 119.77°, γ = 119.73°
Space group P-1 (No. 2)
Asymmetric unit:
Li: 0.2418 0.3714 0.1142
Ti: 0.0000 0.5000 0.5000
Fe: 0.0000 0.0000 0.5000
Fe: 0.5000 0.0000 0.0000
Fe: 0.5000 0.0000 0.5000
O: 0.0279 0.7614 0.2901
O: 0.0286 0.7658 0.7427
O: 0.4745 0.2099 0.7405
O: 0.4801 0.7673 0.7482

Results
Total energy (eV per atom): -6.5124
E above lowest polymorph (meV per atom): 149

***

Compound: LiTiFeO4
Source: Alexandria
Functional: GGA+U
Structure: relaxed

a = 5.9674 Å, b = 5.9855 Å, c = 8.5066 Å
α = 90.00°, β = 90.00°, γ = 90.00°
Space group Imma (No. 74)
Asymmetric unit:
Li: 0.0000 0.0000 0.0000
Ti: 0.2500 0.2500 0.2500
Fe: 0.0000 0.0000 0.5000
O: 0.0000 0.0327 0.2559
O: 0.2347 0.2500 0.4817

Results
Total energy (eV per atom): -7.2621
E above lowest polymorph (meV per atom): 74

***

Compound: Li3TiFe3O8
Source: Alexandria
Functional: GGA+U
Structure: relaxed

a = 5.6138 Å, b = 6.6255 Å, c = 10.2666 Å
α = 90.04°, β = 90.05°, γ = 90.07°
Space group P1 (No. 1)
Asymmetric unit:
Li: 0.0000 0.0000 0.0000
Li: 0.0017 0.0053 0.4981
Li: 0.3297 0.5123 0.2466
Li: 0.4882 0.2573 0.9980
Li: 0.4913 0.2613 0.5003
Li: 0.8220 0.7546 0.7459
Ti: 0.8302 0.2570 0.7518
Ti: 0.8326 0.2590 0.2514
Fe: 0.0004 0.5147 0.0005
Fe: 0.0046 0.5168 0.5005
Fe: 0.3307 0.0057 0.2523
Fe: 0.3338 0.0035 0.7525
Fe: 0.4989 0.7535 0.0019
Fe: 0.5010 0.7568 0.5017
O: 0.0056 0.0327 0.7001
O: 0.0117 0.0490 0.1936
O: 0.3271 0.5122 0.9664
O: 0.3280 0.5189 0.4456
O: 0.3442 0.9950 0.9386
O: 0.3442 0.9984 0.4384
O: 0.4549 0.7681 0.1853
O: 0.4879 0.7778 0.6861
O: 0.5164 0.2407 0.1993
O: 0.5276 0.2229 0.6936
O: 0.8270 0.7466 0.9455
O: 0.8334 0.7530 0.4677
O: 0.8413 0.2724 0.9326
O: 0.8499 0.2739 0.4321
O: 0.9535 0.4866 0.6845
O: 0.9804 0.4789 0.1858

Results
Total energy (eV per atom): -6.6089
E above lowest polymorph (meV per atom): 38

***

Compound: Li3TiFe4O8
Source: Alexandria
Functional: GGA+U
Structure: relaxed

a = 10.3317 Å, b = 6.1410 Å, c = 6.0519 Å
α = 90.00°, β = 125.76°, γ = 90.00°
Space group C2/m (No. 12)
Asymmetric unit:
Li: 0.0000 0.0000 0.0000
Li: 0.2500 0.2500 0.5000
Ti: 0.0000 0.5000 0.5000
Fe: 0.0000 0.0000 0.5000
Fe: 0.0000 0.5000 0.0000
Fe: 0.2500 0.2500 0.0000
O: 0.0059 0.2744 0.2621
O: 0.2351 0.5000 0.7483
O: 0.2471 0.5000 0.2476

Results
Total energy (eV per atom): -6.6358

***

Compound: Li2Ti3FeO8
Source: Alexandria
Functional: GGA+U
Structure: relaxed

a = 5.9800 Å, b = 5.9800 Å, c = 14.7420 Å
α = 90.00°, β = 90.00°, γ = 120.00°
Space group R-3m (No. 166, hexagonal axes)
Asymmetric unit:
Li: 0.0000 0.0000 0.1223
Ti: 0.0000 0.5000 0.0000
Fe: 0.0000 0.0000 0.5000
O: 0.0000 0.0000 0.2620
O: 0.0308 0.5154 0.2581

Results
Total energy (eV per atom): -7.7841
E above lowest polymorph (meV per atom): 39

***

Compound: Li2Ti3FeO8
Source: Alexandria
Functional: GGA+U
Structure: relaxed

a = 5.9749 Å, b = 5.9817 Å, c = 6.0184 Å
α = 119.74°, β = 119.63°, γ = 90.05°
Space group P1 (No. 1)
Asymmetric unit:
Li: 0.0000 0.0000 0.0000
Li: 0.1421 0.3815 0.7632
Ti: 0.4967 0.9747 0.4681
Ti: 0.4994 0.0332 0.0080
Ti: 0.5006 0.4970 0.5282
Fe: 0.8631 0.6192 0.2436
O: 0.2834 0.7630 0.5277
O: 0.2891 0.2466 0.5002
O: 0.2913 0.2544 0.0444
O: 0.2925 0.7903 0.0419
O: 0.7188 0.2378 0.4761
O: 0.7206 0.2103 0.9636
O: 0.7213 0.7464 0.9611
O: 0.7239 0.7575 0.5140

Results
Total energy (eV per atom): -7.8136
E above lowest polymorph (meV per atom): 9

***

Compound: LiTiFe5O8
Source: Alexandria
Functional: GGA+U
Structure: relaxed

a = 9.9927 Å, b = 6.1048 Å, c = 6.6810 Å
α = 90.00°, β = 127.36°, γ = 90.00°
Space group C2/m (No. 12)
Asymmetric unit:
Li: 0.0000 0.0000 0.0000
Ti: 0.0000 0.5000 0.5000
Fe: 0.0000 0.5000 0.0000
Fe: 0.1842 0.0000 0.4688
Fe: 0.2500 0.2500 0.0000
O: 0.0366 0.2740 0.3118
O: 0.2455 0.5000 0.1894
O: 0.2495 0.0000 0.2344

Results
Total energy (eV per atom): -6.8456
E above lowest polymorph (meV per atom): 12

***

Compound: LiTiFeO4
Source: Alexandria
Functional: GGA+U
Structure: relaxed

a = 5.9819 Å, b = 5.9819 Å, c = 8.3486 Å
α = 90.00°, β = 90.00°, γ = 90.00°
Space group P4_322 (No. 95)
Asymmetric unit:
Li: 0.0000 0.2319 0.0000
Ti: 0.2221 0.5000 0.2500
Fe: 0.2572 0.2572 0.6250
O: 0.0147 0.2662 0.2570
O: 0.2649 0.4874 0.0153

Results
Total energy (eV per atom): -7.3280
E above lowest polymorph (meV per atom): 8